Computed, not measured: a relaxed structure of TaVGaO6 at the PBE+U level of DFT.

The structure in POSCAR format:
```
TaVGaO6
1.0
4.638 0.000 0.000
0.000 4.638 0.000
0.000 0.000 9.127
Ta V Ga O
2 2 2 12
Direct
0.500 0.500 0.170
0.000 0.000 0.670
0.500 0.500 0.501
0.000 0.000 0.001
0.500 0.500 0.832
0.000 0.000 0.332
0.204 0.796 0.502
0.796 0.204 0.502
0.296 0.296 0.002
0.704 0.704 0.002
0.195 0.805 0.164
0.805 0.195 0.164
0.305 0.305 0.664
0.695 0.695 0.664
0.803 0.197 0.832
0.197 0.803 0.832
0.697 0.697 0.332
0.303 0.303 0.332
```

- VASP energy: -8.051 eV per atom
- Density of states at the Fermi level: 0.00 states/eV per cell